# Dy2Er2Tm5 | Alexandria | GGA-PBE | optimized geometry
data_Dy2Er2Tm5
_symmetry_space_group_name_H-M 'P -1'
_symmetry_Int_Tables_number 2
_symmetry_space_group_name_Hall '-P 1'
_cell_length_a 3.535
_cell_length_b 8.673
_cell_length_c 9.325
_cell_angle_alpha 103.34
_cell_angle_beta 100.87
_cell_angle_gamma 90.10
loop_
_atom_site_label
_atom_site_type_symbol
_atom_site_fract_x
_atom_site_fract_y
_atom_site_fract_z
Dy1 Dy 0.092 0.334 0.185
Er1 Er 0.166 0.000 0.333
Tm1 Tm 0.241 0.666 0.481
Tm2 Tm 0.425 0.334 0.851
Tm3 Tm 0.500 0.000 0.000
# Formation energy from the elements, eV per formula unit: 0.0
# DOS at the Fermi energy, states/eV/cell: 12.1


# CaLaCd6 | Alexandria | GGA-PBE | optimized geometry
data_CaLaCd6
_symmetry_space_group_name_H-M 'P m m 2'
_symmetry_Int_Tables_number 25
_symmetry_space_group_name_Hall 'P 2 -2'
_cell_length_a 5.163
_cell_length_b 7.432
_cell_length_c 5.164
_cell_angle_alpha 90.00
_cell_angle_beta 90.00
_cell_angle_gamma 90.00
loop_
_atom_site_label
_atom_site_type_symbol
_atom_site_fract_x
_atom_site_fract_y
_atom_site_fract_z
Ca1 Ca 0.000 0.000 0.000
La1 La 0.500 0.500 0.502
Cd1 Cd 0.000 0.241 0.500
Cd2 Cd 0.000 0.500 0.001
Cd3 Cd 0.500 0.000 0.502
Cd4 Cd 0.500 0.241 0.002
# Formation energy from the elements, eV per formula unit: -2.4
# DOS at the Fermi energy, states/eV/cell: 2.0


# CsPuB2F8 | Alexandria | GGA-PBE | optimized geometry
data_CsPuB2F8
_symmetry_space_group_name_H-M 'R -3'
_symmetry_Int_Tables_number 148
_symmetry_space_group_name_Hall '-R 3'
_cell_length_a 4.8658
_cell_length_b 4.8658
_cell_length_c 31.1926
_cell_angle_alpha 90.00
_cell_angle_beta 90.00
_cell_angle_gamma 120.00
loop_
_atom_site_label
_atom_site_type_symbol
_atom_site_fract_x
_atom_site_fract_y
_atom_site_fract_z
Cs1 Cs 0.0000 0.0000 0.0000
Pu1 Pu 0.0000 0.0000 0.5000
B1 B 0.0000 0.0000 0.2504
F1 F 0.0000 0.0000 0.2967
F2 F 0.0359 0.6176 0.9033
# DOS at the Fermi energy, states/eV/cell: 32.8
# Energy relative to the elements, uncorrected, meV per atom: -2732